[1]
An optimized crystal structure of BeCuNi2. Source: Alexandria, functional GGA-PBE.

Structure (extended XYZ):
```
4
Lattice="4.3934 -1.3178 0.0000 4.3934 1.3178 0.0000 -1.7482 0.0000 3.5318" Properties=species:S:1:pos:R:3 pbc="T T T"
Be 0.0000 0.0000 0.0000
Cu 6.0366 0.0000 0.8273
Ni 1.0654 0.0000 2.7405
Ni 3.5605 0.0000 1.7862
```

Raw total energy, eV/atom: -4.972



[2]
An optimized crystal structure of BeCu2Ni. Source: Alexandria, functional GGA-PBE.

Structure (extended XYZ):
```
4
Lattice="2.5253 0.0000 0.0000 0.0000 3.3875 0.0000 -0.0143 0.0000 4.9983" Properties=species:S:1:pos:R:3 pbc="T T T"
Be 0.0000 0.0000 0.0000
Cu 1.2587 1.6938 1.2005
Cu 1.2523 1.6938 3.7978
Ni -0.0072 0.0000 2.4991
```

Raw total energy, eV/atom: -4.457



[3]
An optimized crystal structure of BeCu2Ni. Source: Alexandria, functional GGA-PBE.

Structure (extended XYZ):
```
4
Lattice="4.5027 -1.3136 0.0000 4.5027 1.3136 0.0000 -1.7353 0.0000 3.5605" Properties=species:S:1:pos:R:3 pbc="T T T"
Be 0.0000 0.0000 0.0000
Cu 1.1134 0.0000 2.7503
Cu 6.1569 0.0000 0.8102
Ni 3.6351 0.0000 1.7803
```

Raw total energy, eV/atom: -4.511



[4]
An optimized crystal structure of Be6Cu5Ni. Source: Alexandria, functional GGA-PBE.

Structure (extended XYZ):
```
12
Lattice="1.8763 -5.6233 0.0000 1.8763 5.6233 0.0000 0.0000 0.0000 5.4864" Properties=species:S:1:pos:R:3 pbc="T T T"
Be 0.0000 0.0000 1.3201
Be 0.0000 0.0000 4.1663
Be 1.8763 1.8299 1.3423
Be 1.8763 1.8299 4.1441
Be 1.8763 -1.8299 1.3423
Be 1.8763 -1.8299 4.1441
Cu 1.8763 3.7393 0.0000
Cu 1.8763 3.7273 2.7432
Cu 1.8763 0.0000 2.7432
Cu 1.8763 -3.7273 2.7432
Cu 1.8763 -3.7393 0.0000
Ni 1.8763 0.0000 0.0000
```

Raw total energy, eV/atom: -4.214



[5]
An optimized crystal structure of BeCu3Ni12. Source: Alexandria, functional GGA-PBE.

Structure (extended XYZ):
```
16
Lattice="3.5194 0.0000 0.0000 0.0000 3.5194 0.0000 0.0000 0.0000 14.0094" Properties=species:S:1:pos:R:3 pbc="T T T"
Be 0.0000 0.0000 0.0000
Cu 0.0000 0.0000 3.4328
Cu 0.0000 0.0000 7.0047
Cu 0.0000 0.0000 10.5766
Ni 0.0000 1.7597 1.6452
Ni 0.0000 1.7597 5.2210
Ni 0.0000 1.7597 8.7885
Ni 0.0000 1.7597 12.3643
Ni 1.7597 0.0000 1.6452
Ni 1.7597 0.0000 5.2210
Ni 1.7597 0.0000 8.7885
Ni 1.7597 0.0000 12.3643
Ni 1.7597 1.7597 0.0000
Ni 1.7597 1.7597 3.4399
Ni 1.7597 1.7597 7.0047
Ni 1.7597 1.7597 10.5695
```

Raw total energy, eV/atom: -5.350



[6]
An optimized crystal structure of BeCuNi2. Source: Alexandria, functional GGA-PBE.

Structure (extended XYZ):
```
4
Lattice="2.5625 0.0000 0.0000 0.0000 2.5625 0.0000 0.0000 0.0000 6.1579" Properties=species:S:1:pos:R:3 pbc="T T T"
Be 0.0000 0.0000 0.0000
Cu 0.0000 0.0000 3.0790
Ni 1.2812 1.2812 1.3212
Ni 1.2812 1.2812 4.8367
```

Raw total energy, eV/atom: -5.079



[7]
An optimized crystal structure of BeCu2Ni. Source: Alexandria, functional GGA-PBE.

Structure (extended XYZ):
```
4
Lattice="-1.3266 2.0091 3.9641 1.3266 -2.0091 3.9641 1.3266 2.0091 -3.9641" Properties=species:S:1:pos:R:3 pbc="T T T"
Be 0.0000 0.0000 0.0000
Cu 1.3266 0.0000 1.8377
Cu 0.0000 0.0000 4.0007
Ni 0.0000 2.0091 2.2097
```

Raw total energy, eV/atom: -4.500



[8]
An optimized crystal structure of Be5Cu2Ni2. Source: Alexandria, functional GGA-PBE.

Structure (extended XYZ):
```
9
Lattice="2.4342 0.0000 0.0000 -0.0285 5.7814 0.0000 -0.0096 -1.6847 6.0038" Properties=species:S:1:pos:R:3 pbc="T T T"
Be 0.0000 0.0000 0.0000
Be -0.0185 3.6452 0.6635
Be -0.0081 0.9594 3.1582
Be 2.4042 3.1372 2.8456
Be 2.4147 0.4515 5.3403
Cu 1.1952 -1.0241 4.1689
Cu 1.2010 5.1208 1.8349
Ni 1.1992 1.8067 1.2926
Ni 1.1970 2.2899 4.7112
```

Raw total energy, eV/atom: -4.454